# HfCrTe2W

A crystal of HfCrTe2W relaxed with PBEsol (SCAN, Alexandria).

Calculated values
* space-group type: P4/mmm (123)
* calculated total energy: -43.392 eV per atom
* spin magnetization: 7.83 μB per formula unit
* crystal system: tetragonal

Cell and atoms, written as CIF:
```
data_HfCrTe2W
_chemical_formula_sum 'Hf1 Cr1 Te2 W1'
_cell_length_a 4.727
_cell_length_b 5.334
_cell_length_c 5.334
_cell_angle_alpha 90.00
_cell_angle_beta 90.00
_cell_angle_gamma 90.00
_space_group_name_H-M_alt 'P 1'
_space_group_IT_number 1
loop_
_space_group_symop_operation_xyz
'x,y,z'
loop_
_atom_site_label
_atom_site_fract_x
_atom_site_fract_y
_atom_site_fract_z
_atom_site_occupancy
Te1 0.000 0.500 0.000 1
Hf1 0.000 0.000 0.000 1
Te2 0.000 0.000 0.500 1
Cr1 0.500 0.000 0.000 1
W1 0.500 0.500 0.500 1
```